# 1
Material: CrBr3
Method: DFT, PBE-GGA
State: relaxed

Properties
The calculated density comes out at 4.05 g cm⁻³. As for the crystal system: orthorhombic. The final energy is -15.36 eV for the cell shown. Its density of states at the Fermi level is 3.55 states/eV/cell.

The structure in CIF format:
```
data_CrBr3
_space_group_name_H-M_alt 'P m m 2'
_space_group_IT_number 25
_space_group_name_Hall 'P 2 -2'
_cell_length_a 3.344
_cell_length_b 3.577
_cell_length_c 9.999
_cell_angle_alpha 90.00
_cell_angle_beta 90.00
_cell_angle_gamma 90.00
loop_
_atom_site_label
_atom_site_fract_x
_atom_site_fract_y
_atom_site_fract_z
Cr1 0.000 0.000 0.000
Br1 0.000 0.500 0.496
Br2 0.500 0.000 0.180
Br3 0.500 0.500 0.867
```

# 2
Material: Rb3ZrU2Se6
Method: DFT, PBE-GGA
State: relaxed

Properties
The calculated density comes out at 5.96 g cm⁻³. As for the crystal system: monoclinic. The final energy is -139.59 eV for the cell shown. Its density of states at the Fermi level is 17.84 states/eV/cell.

The structure in CIF format:
```
data_Rb3ZrU2Se6
_space_group_name_H-M_alt 'C 1 2/m 1'
_space_group_IT_number 12
_space_group_name_Hall '-C 2y'
_cell_length_a 7.179
_cell_length_b 12.436
_cell_length_c 8.446
_cell_angle_alpha 90.00
_cell_angle_beta 106.48
_cell_angle_gamma 90.00
loop_
_atom_site_label
_atom_site_fract_x
_atom_site_fract_y
_atom_site_fract_z
Rb1 0.000 0.000 0.000
Rb2 0.000 0.332 0.000
Zr1 0.000 0.500 0.500
U1 0.000 0.167 0.500
Se1 0.227 0.339 0.697
Se2 0.244 0.000 0.698
```

# 3
Material: MgIrSe2
Method: DFT, PBE-GGA
State: relaxed

Properties
The calculated density comes out at 7.96 g cm⁻³. As for the crystal system: monoclinic. The final energy is -35.32 eV for the cell shown. Its density of states at the Fermi level is 4.43 states/eV/cell.

The structure in CIF format:
```
data_MgIrSe2
_space_group_name_H-M_alt 'C 1 2/m 1'
_space_group_IT_number 12
_space_group_name_Hall '-C 2y'
_cell_length_a 5.826
_cell_length_b 7.336
_cell_length_c 4.669
_cell_angle_alpha 90.00
_cell_angle_beta 128.46
_cell_angle_gamma 90.00
loop_
_atom_site_label
_atom_site_fract_x
_atom_site_fract_y
_atom_site_fract_z
Mg1 0.000 0.000 0.000
Ir1 0.000 0.500 0.000
Se1 0.250 0.250 0.500
```

| no. | formation energy (no corrections) (eV per atom) |
| --- | --- |
| 1 | -0.18 |
| 2 | -1.24 |
| 3 | -0.06 |